Material: YErFe2Ge2N
Method: DFT, PBE
State: relaxed

Cell lengths 10.594, 3.862, 6.769 Å; angles 90.00, 127.40, 90.00 degrees
Fractional coordinates of all 14 atoms:
Y: 0.000 0.000 0.000
Y: 0.500 0.500 0.000
Er: 0.116 0.000 0.572
Er: 0.616 0.500 0.572
Fe: 0.252 0.500 0.371
Fe: 0.365 0.000 0.205
Fe: 0.752 0.000 0.371
Fe: 0.865 0.500 0.205
Ge: 0.218 0.500 0.986
Ge: 0.398 0.000 0.587
Ge: 0.718 0.000 0.986
Ge: 0.898 0.500 0.587
N: 0.060 0.500 0.291
N: 0.560 0.000 0.291

The calculated density comes out at 7957 kg/m3. The total energy is -7.232 eV per atom. Its crystal system is monoclinic. The spin magnetization is 0.02 μB per formula unit.

---

Material: YScGe2Au2
Method: DFT, PBE
State: relaxed

Cell lengths 9.082, 4.531, 13.594 Å; angles 90.00, 109.38, 90.00 degrees
Fractional coordinates of all 24 atoms:
Y: 0.000 0.000 0.000
Y: 0.123 0.500 0.744
Y: 0.250 0.000 0.495
Y: 0.505 0.000 0.999
Sc: 0.378 0.500 0.250
Sc: 0.629 0.500 0.747
Sc: 0.750 0.000 0.496
Sc: 0.877 0.500 0.250
Ge: 0.128 0.000 0.251
Ge: 0.254 0.500 0.003
Ge: 0.379 0.000 0.747
Ge: 0.502 0.500 0.494
Ge: 0.628 0.000 0.250
Ge: 0.752 0.500 0.998
Ge: 0.871 0.000 0.743
Ge: 0.996 0.500 0.495
Au: 0.069 0.500 0.133
Au: 0.189 0.000 0.873
Au: 0.326 0.500 0.626
Au: 0.445 0.000 0.369
Au: 0.569 0.500 0.132
Au: 0.686 0.000 0.864
Au: 0.803 0.500 0.616
Au: 0.929 0.000 0.370

The calculated density comes out at 8472 kg/m3. The total energy is -5.478 eV per atom. Its crystal system is monoclinic. The spin magnetization is 0.00 μB per formula unit. Its energy relative to the lowest polymorph listed for this composition is 0.39 eV per formula unit.

---

Material: CsTmSe2O8
Method: DFT, PBE
State: relaxed

Cell lengths 5.647, 5.647, 8.047 Å; angles 90.00, 90.00, 120.00 degrees
Fractional coordinates of all 12 atoms:
Cs: 0.000 0.000 0.000
Tm: 0.000 0.000 0.500
Se: 0.333 0.667 0.259
Se: 0.667 0.333 0.741
O: 0.174 0.349 0.333
O: 0.174 0.826 0.333
O: 0.333 0.667 0.055
O: 0.349 0.174 0.667
O: 0.651 0.826 0.333
O: 0.667 0.333 0.945
O: 0.826 0.174 0.667
O: 0.826 0.651 0.667

The calculated density comes out at 4391 kg/m3. The total energy is -5.883 eV per atom. Its crystal system is trigonal. The spin magnetization is 0.00 μB per formula unit.

---

Which value of spin magnetization does entry 2 give? 0.00 μB per formula unit